## Zn3AuN (GGA-PBE)

Data for Zn3AuN after structural relaxation.

abc: 4.1705 4.1705 4.1705
angles: 90.00 90.00 90.00
Atoms (fractional coordinates):
Zn1 0.0000 0.0000 0.5000
Zn2 0.0000 0.5000 0.0000
Zn3 0.5000 0.0000 0.0000
Au1 0.5000 0.5000 0.5000
N1 0.0000 0.0000 0.0000

Values from the calculation:
Fermi-level density of states	1.2	states/eV/cell
symmetry	Pm-3m
relative energy among the computed polymorphs	0	meV per atom
spin magnetization	0.0	μB per formula unit
E_form (uncorrected)	0.18	eV per atom

=====

## LaCeTlRu (GGA-PBE)

Data for LaCeTlRu after structural relaxation.

abc: 3.4527 3.4527 8.6484
angles: 90.00 90.00 90.00
Atoms (fractional coordinates):
La1 0.0000 0.0000 0.0000
Ce1 0.0000 0.0000 0.5934
Tl1 0.5000 0.5000 0.3030
Ru1 0.5000 0.5000 0.7790

Values from the calculation:
E_form	-7.20	kcal/mol of atoms
Fermi-level density of states	4.5	states/eV/cell
symmetry	P4mm
spin magnetization	0.4	μB per formula unit